Compound: Zn6TeO6
Source: Alexandria
Functional: PBE
Structure: optimized geometry

DOS(E_F) (states/eV/cell): 5.8
ΔE_f (raw) (eV per formula unit): -13.868

CIF file:
```
data_Zn6TeO6
_chemical_formula_sum 'Zn6 Te1 O6'
_cell_length_a 5.7554
_cell_length_b 5.7554
_cell_length_c 5.7554
_cell_angle_alpha 90.00
_cell_angle_beta 90.00
_cell_angle_gamma 90.00
_symmetry_space_group_name_H-M 'P 1'
_symmetry_Int_Tables_number 1
loop_
_symmetry_equiv_pos_as_xyz
'x,y,z'
loop_
_atom_site_label
_atom_site_type_symbol
_atom_site_fract_x
_atom_site_fract_y
_atom_site_fract_z
Zn1 Zn 0.0000 0.2478 0.5000
Zn2 Zn 0.0000 0.7522 0.5000
Zn3 Zn 0.2478 0.5000 0.0000
Zn4 Zn 0.5000 0.0000 0.2478
Zn5 Zn 0.5000 0.0000 0.7522
Zn6 Zn 0.7522 0.5000 0.0000
Te1 Te 0.0000 0.0000 0.0000
O1 O 0.0000 0.5000 0.2554
O2 O 0.0000 0.5000 0.7446
O3 O 0.2554 0.0000 0.5000
O4 O 0.5000 0.2554 0.0000
O5 O 0.5000 0.7446 0.0000
O6 O 0.7446 0.0000 0.5000
```

=====

Compound: BaLiNp4N8
Source: Alexandria
Functional: PBE
Structure: optimized geometry

DOS(E_F) (states/eV/cell): 17.4
ΔE_f (raw) (eV per formula unit): -11.878

CIF file:
```
data_BaLiNp4N8
_chemical_formula_sum 'Ba1 Li1 Np4 N8'
_cell_length_a 6.7248
_cell_length_b 6.7248
_cell_length_c 6.7248
_cell_angle_alpha 62.23
_cell_angle_beta 62.23
_cell_angle_gamma 62.23
_symmetry_space_group_name_H-M 'P 1'
_symmetry_Int_Tables_number 1
loop_
_symmetry_equiv_pos_as_xyz
'x,y,z'
loop_
_atom_site_label
_atom_site_type_symbol
_atom_site_fract_x
_atom_site_fract_y
_atom_site_fract_z
Ba1 Ba 0.0000 0.0000 0.0000
Li1 Li 0.6228 0.6228 0.6228
Np1 Np 0.1072 0.6156 0.6156
Np2 Np 0.2300 0.2300 0.2300
Np3 Np 0.6156 0.1072 0.6156
Np4 Np 0.6156 0.6156 0.1072
N1 N 0.3529 0.3529 0.8282
N2 N 0.3529 0.8282 0.3529
N3 N 0.3734 0.3734 0.3734
N4 N 0.4525 0.8453 0.8453
N5 N 0.8282 0.3529 0.3529
N6 N 0.8410 0.8410 0.8410
N7 N 0.8453 0.4525 0.8453
N8 N 0.8453 0.8453 0.4525
```

=====

Compound: V2GaPd9
Source: Alexandria
Functional: PBE
Structure: optimized geometry

DOS(E_F) (states/eV/cell): 10.1
DFT formation energy (eV/atom): -0.324

CIF file:
```
data_V2GaPd9
_chemical_formula_sum 'V2 Ga1 Pd9'
_cell_length_a 3.8947
_cell_length_b 3.8947
_cell_length_c 11.7610
_cell_angle_alpha 90.00
_cell_angle_beta 90.00
_cell_angle_gamma 90.00
_symmetry_space_group_name_H-M 'P 1'
_symmetry_Int_Tables_number 1
loop_
_symmetry_equiv_pos_as_xyz
'x,y,z'
loop_
_atom_site_label
_atom_site_type_symbol
_atom_site_fract_x
_atom_site_fract_y
_atom_site_fract_z
V1 V 0.0000 0.0000 0.1699
V2 V 0.0000 0.0000 0.8301
Ga1 Ga 0.0000 0.0000 0.5000
Pd1 Pd 0.0000 0.5000 0.0000
Pd2 Pd 0.0000 0.5000 0.3285
Pd3 Pd 0.0000 0.5000 0.6715
Pd4 Pd 0.5000 0.0000 0.0000
Pd5 Pd 0.5000 0.0000 0.3285
Pd6 Pd 0.5000 0.0000 0.6715
Pd7 Pd 0.5000 0.5000 0.1646
Pd8 Pd 0.5000 0.5000 0.5000
Pd9 Pd 0.5000 0.5000 0.8354
```

=====

DOS(E_F) of number 1 (Zn6TeO6)?
5.8 states/eV/cell

=====

Among the records above, which one has the highest DOS(E_F)?
BaLiNp4N8